Entry 1:
Compound: TbNd8Sm3
Source: the Alexandria database
Functional: PBE
Structure: optimized geometry

VASP energy ... -4.434 eV per atom
Symmetry ... I222, No. 23
Energy relative to the elements ... 310 meV per atom

Structure (extended XYZ):
```
12
Lattice="7.2698 0.4389 -4.9798 -3.1494 8.1412 -1.2827 -1.6961 -0.4389 8.6471" Properties=species:S:1:pos:R:3 pbc="T T T"
Tb 4.1205 8.5800 -6.2625
Nd 2.4245 2.1038 -0.5943
Nd -0.0057 6.0462 2.9874
Nd -2.7356 6.0374 1.1791
Nd 5.1656 2.0949 1.1970
Nd -0.5335 3.3296 0.8110
Nd 5.3846 0.9541 -2.1147
Nd 2.9581 4.8116 1.5737
Nd -2.9604 7.1871 4.4992
Sm 0.8311 6.2438 -1.2631
Sm 1.5933 1.8973 3.6477
Sm 4.8471 4.2900 -1.2976
```



Entry 2:
Compound: Na2SrReS
Source: the Alexandria database
Functional: PBE
Structure: optimized geometry

VASP energy ... -2.485 eV per atom
Distance to the lowest polymorph of the same formula ... 649.9 meV per atom
Symmetry ... P4/mmm, No. 123
Formation energy from raw total energies ... 1.69 eV per atom

Structure (extended XYZ):
```
5
Lattice="6.0404 0.0000 0.0000 0.0000 5.1442 0.0000 0.0000 0.0000 6.0404" Properties=species:S:1:pos:R:3 pbc="T T T"
Re 0.0000 2.5721 0.0000
S 3.0202 2.5721 3.0202
Na 0.0000 0.0000 3.0202
Na 3.0202 0.0000 0.0000
Sr 0.0000 0.0000 0.0000
```



Entry 3:
Compound: SrAlP
Source: the Alexandria database
Functional: PBE
Structure: optimized geometry

VASP energy ... -4.176 eV per atom
Symmetry ... P-6m2, No. 187
Energy relative to the elements ... -565 meV per atom

Structure (extended XYZ):
```
3
Lattice="-3.2917 2.3207 -1.4715 2.5940 -2.0262 -2.7510 -2.6138 -3.5924 0.1813" Properties=species:S:1:pos:R:3 pbc="T T T"
Sr 0.0001 -0.0001 -0.0003
Al -0.6747 -2.3735 -2.2340
P -2.6368 -0.9243 -1.8068
```



no.,volume (Å³/atom)
1,37.079
2,37.539
3,23.614